The following is a PBE-GGA calculation of an optimized crystal structure of HgRhSe2, from Alexandria.

Summary:
For the magnetic moment, the calculation gives 0.0 μB/f.u. Its energy relative to the elements, uncorrected is -0.08 eV per atom. The density of states at the Fermi level comes out at 0.4970 states/eV/atom.

a = 5.600 Å, b = 4.993 Å, c = 6.226 Å
α = 90.00°, β = 102.73°, γ = 90.00°
Fractional coordinates of all 8 atoms:
Hg 0.070 0.250 0.167
Hg 0.930 0.750 0.833
Rh 0.436 0.750 0.861
Rh 0.564 0.250 0.139
Se 0.245 0.750 0.448
Se 0.408 0.250 0.748
Se 0.592 0.750 0.252
Se 0.755 0.250 0.552


The following is a PBE-GGA calculation of an optimized crystal structure of HgRhSe2, from Alexandria.

Summary:
For the magnetic moment, the calculation gives 0.0 μB/f.u. Its energy relative to the elements, uncorrected is -0.09 eV per atom. The density of states at the Fermi level comes out at 0.5319 states/eV/atom.

a = 6.846 Å, b = 6.846 Å, c = 6.846 Å
α = 124.34°, β = 124.34°, γ = 82.64°
Fractional coordinates of all 8 atoms:
Hg 0.000 0.000 0.000
Hg 0.750 0.250 0.500
Rh 0.250 0.750 0.500
Rh 0.500 0.500 0.000
Se 0.183 0.625 0.058
Se 0.375 0.433 0.558
Se 0.567 0.125 0.942
Se 0.875 0.817 0.442


The following is a PBE-GGA calculation of an optimized crystal structure of Hg2RhSe, from Alexandria.

Summary:
For the magnetic moment, the calculation gives 0.0 μB/f.u. Its energy relative to the elements, uncorrected is 0.31 eV per atom. The density of states at the Fermi level comes out at 1.2906 states/eV/atom.

a = 5.324 Å, b = 5.324 Å, c = 5.324 Å
α = 133.32°, β = 133.32°, γ = 68.16°
Fractional coordinates of all 4 atoms:
Hg 0.000 0.000 0.000
Hg 0.750 0.250 0.500
Rh 0.250 0.750 0.500
Se 0.500 0.500 0.000


Q: The highest energy relative to the elements, uncorrected belongs to which entry?
A: Hg2RhSe


Q: What is the formula in the first record?
A: HgRhSe2


What did the first record say?
The following is a PBE-GGA calculation of an optimized crystal structure of HgRhSe2, from Alexandria.

Summary:
For the magnetic moment, the calculation gives 0.0 μB/f.u. Its energy relative to the elements, uncorrected is -0.08 eV per atom. The density of states at the Fermi level comes out at 0.4970 states/eV/atom.

a = 5.600 Å, b = 4.993 Å, c = 6.226 Å
α = 90.00°, β = 102.73°, γ = 90.00°
Fractional coordinates of all 8 atoms:
Hg 0.070 0.250 0.167
Hg 0.930 0.750 0.833
Rh 0.436 0.750 0.861
Rh 0.564 0.250 0.139
Se 0.245 0.750 0.448
Se 0.408 0.250 0.748
Se 0.592 0.750 0.252
Se 0.755 0.250 0.552